# Ba4LiHg

Ba4LiHg after structural relaxation (PBE, the Alexandria database).

Lattice parameters (Å, degrees): 8.631 8.553 8.635 90.00 93.49 90.00
Element x y z (fractional)
Ba 0.857 0.654 0.162
Ba 0.643 0.154 0.838
Ba 0.324 0.336 0.347
Ba 0.176 0.836 0.653
Ba 0.143 0.346 0.838
Ba 0.357 0.846 0.162
Ba 0.676 0.664 0.653
Ba 0.824 0.164 0.347
Li 0.000 0.000 0.000
Li 0.500 0.500 0.000
Hg 0.500 0.000 0.500
Hg 0.000 0.500 0.500

Calculated values
total energy = -0.0635 hartree per atom
density of states at the Fermi level = 14.56 states/eV per cell
offset from the most stable computed form = 0 meV/atom
ΔE_f = -0.077 eV/atom